## CeSmIn6 (PBE)

Data for a relaxed structure of CeSmIn6.

Calculated volume: 207.2 Å³/f.u.
DFT total energy: -3.825 eV per atom
Excess energy over the best structure of this formula in the dataset: 0 meV/atom
Density: 7.85 Mg/m³
Calculated formation energy: -439 meV per atom
Space group: P4/mmm

a = 4.697 Å, b = 4.697 Å, c = 9.393 Å
α = 90.00°, β = 90.00°, γ = 90.00°
Each line ends with the local moment (μB).
Atoms (fractional coordinates):
In 0.500 0.500 0.000  0.01
In 0.500 0.000 0.250  0.00
In 0.000 0.500 0.750  0.00
In 0.500 0.500 0.500  -0.01
In 0.000 0.500 0.250  0.00
In 0.500 0.000 0.750  0.00
Sm 0.000 0.000 0.500  0.00
Ce 0.000 0.000 0.000  0.64

---

## CsI2O2 (PBE)

Data for a relaxed structure of CsI2O2.

Calculated volume: 133.8 Å³/f.u.
DFT total energy: -2.904 eV per atom
Excess energy over the best structure of this formula in the dataset: 0 meV/atom
Density: 5.20 Mg/m³
Space group: P4/mmm

a = 4.665 Å, b = 4.665 Å, c = 6.145 Å
α = 90.00°, β = 90.00°, γ = 90.00°
Atoms (fractional coordinates):
I 0.000 0.000 0.500
I 0.000 0.000 0.000
O 0.000 0.500 0.000
O 0.500 0.000 0.000
Cs 0.500 0.500 0.500

---

## Y2RuF2 (PBE)

Data for a relaxed structure of Y2RuF2.

Calculated volume: 82.3 Å³/f.u.
DFT total energy: -6.743 eV per atom
Excess energy over the best structure of this formula in the dataset: 702 meV/atom
Density: 6.40 Mg/m³
Space group: P4/mbm

a = 7.460 Å, b = 7.460 Å, c = 2.957 Å
α = 90.00°, β = 90.00°, γ = 90.00°
Atoms (fractional coordinates):
Ru 0.500 0.500 0.000
Ru 0.000 0.000 0.000
Y 0.689 0.189 0.000
Y 0.811 0.689 0.000
Y 0.189 0.311 0.000
Y 0.311 0.811 0.000
F 0.112 0.612 0.500
F 0.888 0.388 0.500
F 0.388 0.112 0.500
F 0.612 0.888 0.500

---

## NiB3Mo (PBE)

Data for a relaxed structure of NiB3Mo.

Calculated volume: 50.6 Å³/f.u.
DFT total energy: -6.282 eV per atom
Excess energy over the best structure of this formula in the dataset: 0 meV/atom
Density: 6.14 Mg/m³
Calculated formation energy: 1047 meV per atom
Space group: Pm-3m

a = 3.698 Å, b = 3.698 Å, c = 3.698 Å
α = 90.00°, β = 90.00°, γ = 90.00°
Atoms (fractional coordinates):
B 0.000 0.500 0.000
B 0.000 0.000 0.500
B 0.500 0.000 0.000
Ni 0.000 0.000 0.000
Mo 0.500 0.500 0.500

---

## Cu2Ge2Bi (PBE)

Data for a relaxed structure of Cu2Ge2Bi.

Calculated volume: 95.0 Å³/f.u.
DFT total energy: -3.960 eV per atom
Excess energy over the best structure of this formula in the dataset: 147 meV/atom
Density: 8.41 Mg/m³
Calculated formation energy: 302 meV per atom
Space group: P4/mbm

a = 7.910 Å, b = 7.910 Å, c = 3.036 Å
α = 90.00°, β = 90.00°, γ = 90.00°
Atoms (fractional coordinates):
Ge 0.344 0.844 0.000
Ge 0.156 0.344 0.000
Ge 0.656 0.156 0.000
Ge 0.844 0.656 0.000
Cu 0.381 0.119 0.500
Cu 0.881 0.381 0.500
Cu 0.119 0.619 0.500
Cu 0.619 0.881 0.500
Bi 0.000 0.000 0.000
Bi 0.500 0.500 0.000

---

## SrLa2Pd2 (PBE)

Data for a relaxed structure of SrLa2Pd2.

Calculated volume: 168.8 Å³/f.u.
DFT total energy: -4.762 eV per atom
Excess energy over the best structure of this formula in the dataset: 220 meV/atom
Density: 5.69 Mg/m³
Calculated formation energy: -377 meV per atom
Space group: I4/mmm

a = 5.436 Å, b = 5.436 Å, c = 6.884 Å
α = 66.74°, β = 66.74°, γ = 90.00°
Atoms (fractional coordinates):
Pd 0.250 0.750 0.500
Pd 0.750 0.250 0.500
La 0.667 0.667 0.666
La 0.333 0.333 0.334
Sr 0.000 0.000 0.000

---

## TlCd2SnCl8 (PBE)

Data for a relaxed structure of TlCd2SnCl8.

Calculated volume: 411.2 Å³/f.u.
DFT total energy: -2.821 eV per atom
Density: 3.36 Mg/m³
Space group: P-3m1

a = 7.650 Å, b = 7.650 Å, c = 8.113 Å
α = 90.00°, β = 90.00°, γ = 120.00°
Atoms (fractional coordinates):
Cd 0.333 0.667 0.030
Cd 0.667 0.333 0.970
Sn 0.000 0.000 0.000
Cl 0.837 0.673 0.811
Cl 0.673 0.837 0.189
Cl 0.333 0.667 0.739
Cl 0.163 0.327 0.189
Cl 0.163 0.837 0.189
Cl 0.837 0.163 0.811
Cl 0.327 0.163 0.811
Cl 0.667 0.333 0.261
Tl 0.000 0.000 0.500

---

## LaTbThTl (PBE)

Data for a relaxed structure of LaTbThTl.

Calculated volume: 123.1 Å³/f.u.
DFT total energy: -4.806 eV per atom
Density: 9.91 Mg/m³
Calculated formation energy: 30 meV per atom
Space group: F-43m

a = 5.584 Å, b = 5.584 Å, c = 5.584 Å
α = 60.00°, β = 60.00°, γ = 60.00°
Atoms (fractional coordinates):
Tl 0.500 0.500 0.500
Th 0.000 0.000 0.000
La 0.250 0.250 0.250
Tb 0.750 0.750 0.750